1.
The following is a PBE-GGA calculation of a relaxed structure of Hg2IrAu, from Alexandria via LeMat-Bulk.

a b c (Å): 3.0681 4.0170 6.0492
angles (deg): 90.00 91.01 90.00
Element x y z (fractional)
Hg: 0.0000 0.0000 0.2390
Hg: 0.0000 0.0000 0.7610
Ir: 0.5000 0.5000 0.0000
Au: 0.5000 0.5000 0.5000

Summary:
The value obtained for the calculated density is 17.6 g/cm³. The calculation puts the total energy at -2.804 eV per atom. As for the crystal system: monoclinic. The value obtained for the formation energy is 0.38 eV per atom.



2.
The following is a PBE-GGA calculation of a relaxed structure of HgIr2Au2, from Alexandria via LeMat-Bulk.

a b c (Å): 6.9935 6.9935 3.7553
angles (deg): 90.00 90.00 90.00
Element x y z (fractional)
Hg: 0.0000 0.0000 0.0000
Hg: 0.5000 0.5000 0.0000
Ir: 0.1277 0.3723 0.0000
Ir: 0.3723 0.8723 0.0000
Ir: 0.6277 0.1277 0.0000
Ir: 0.8723 0.6277 0.0000
Au: 0.1705 0.6705 0.5000
Au: 0.3295 0.1705 0.5000
Au: 0.6705 0.8295 0.5000
Au: 0.8295 0.3295 0.5000

Summary:
The value obtained for the calculated density is 17.7 g/cm³. The calculation puts the total energy at -4.391 eV per atom. As for the crystal system: tetragonal. The value obtained for the formation energy is 0.52 eV per atom.



3.
The following is a PBE-GGA calculation of a relaxed structure of Hg2IrAu2, from Alexandria via LeMat-Bulk.

a b c (Å): 7.1468 7.1468 3.9192
angles (deg): 90.00 90.00 90.00
Element x y z (fractional)
Hg: 0.1697 0.3303 0.0000
Hg: 0.3303 0.8303 0.0000
Hg: 0.6697 0.1697 0.0000
Hg: 0.8303 0.6697 0.0000
Ir: 0.0000 0.0000 0.5000
Ir: 0.5000 0.5000 0.5000
Au: 0.1370 0.6370 0.5000
Au: 0.3630 0.1370 0.5000
Au: 0.6370 0.8630 0.5000
Au: 0.8630 0.3630 0.5000

Summary:
The value obtained for the calculated density is 16.4 g/cm³. The calculation puts the total energy at -2.679 eV per atom. As for the crystal system: tetragonal. The value obtained for the formation energy is 0.52 eV per atom.



Question: The lowest calculated density belongs to which entry?
Answer: Hg2IrAu2



Question: Among the records above, which one has the lowest calculated density?
Answer: Hg2IrAu2



Question: Which value of calculated density does entry 3 give?
Answer: 16.4 g/cm³



What did the third record say?
The following is a PBE-GGA calculation of a relaxed structure of Hg2IrAu2, from Alexandria via LeMat-Bulk.

a b c (Å): 7.1468 7.1468 3.9192
angles (deg): 90.00 90.00 90.00
Element x y z (fractional)
Hg: 0.1697 0.3303 0.0000
Hg: 0.3303 0.8303 0.0000
Hg: 0.6697 0.1697 0.0000
Hg: 0.8303 0.6697 0.0000
Ir: 0.0000 0.0000 0.5000
Ir: 0.5000 0.5000 0.5000
Au: 0.1370 0.6370 0.5000
Au: 0.3630 0.1370 0.5000
Au: 0.6370 0.8630 0.5000
Au: 0.8630 0.3630 0.5000

Summary:
The value obtained for the calculated density is 16.4 g/cm³. The calculation puts the total energy at -2.679 eV per atom. As for the crystal system: tetragonal. The value obtained for the formation energy is 0.52 eV per atom.